No. 1
Density functional theory data (GGA-PBE) for a relaxed Ho2Er4Hg crystal.

Output
* total energy: -0.291 Ry/atom
* SG: No. 12
* calculated volume: 209.0 Å³/cell

The structure in extended XYZ format:
```
7
Lattice="-1.847 -1.934 -2.245 5.732 -6.025 0.476 -5.219 0.711 6.398" Properties=species:S:1:pos:R:3 pbc="T T T"
Ho 0.529 -6.289 2.269
Ho -1.863 -0.960 2.360
Er -4.371 -2.974 3.444
Er 3.036 -4.275 1.185
Er -0.276 -3.398 0.440
Er -1.059 -3.851 4.190
Hg 0.000 0.000 0.000
```


No. 2
Density functional theory data (GGA-PBE) for a relaxed HoEr5Hg3 crystal.

Output
* total energy: -0.254 Ry/atom
* SG: No. 193
* calculated volume: 481.4 Å³/cell

The structure in extended XYZ format:
```
18
Lattice="-1.576 5.783 -3.332 -7.247 1.043 5.239 7.888 3.571 2.465" Properties=species:S:1:pos:R:3 pbc="T T T"
Ho 0.000 0.000 0.000
Ho -0.788 2.892 -1.666
Er -2.202 1.885 4.314
Er 2.055 5.620 1.724
Er 2.843 2.728 3.390
Er -2.990 4.777 2.648
Er -0.755 7.412 2.634
Er -5.797 6.572 3.563
Er -3.601 4.686 -0.751
Er -0.180 2.985 1.738
Er 4.862 3.825 0.810
Er -5.222 2.141 2.658
Hg -0.968 5.875 0.069
Hg -3.170 7.761 4.383
Hg -6.014 5.033 0.994
Hg 0.034 4.521 4.303
Hg 2.235 2.636 -0.011
Hg -2.809 1.793 0.913
```


no.,formation energy from the elements (kJ/mol of atoms)
1,0.4
2,-30.5